# HgP2I6 (PBE, optimized geometry)
data_HgP2I6
_space_group_name_H-M_alt 'P 1'
_space_group_IT_number 1
_cell_length_a 9.439
_cell_length_b 9.728
_cell_length_c 9.728
_cell_angle_alpha 75.40
_cell_angle_beta 95.00
_cell_angle_gamma 95.00
loop_
_space_group_symop_operation_xyz
'x,y,z'
loop_
_atom_site_label
_atom_site_type_symbol
_atom_site_fract_x
_atom_site_fract_y
_atom_site_fract_z
_atom_site_occupancy
I1 I 0.684 0.207 0.532 1
I2 I 0.816 0.468 0.793 1
I3 I 0.316 0.793 0.468 1
I4 I 0.058 0.860 0.863 1
I5 I 0.942 0.140 0.137 1
I6 I 0.816 0.795 0.466 1
I7 I 0.442 0.137 0.140 1
I8 I 0.316 0.466 0.795 1
I9 I 0.684 0.534 0.205 1
I10 I 0.558 0.863 0.860 1
I11 I 0.184 0.205 0.534 1
I12 I 0.184 0.532 0.207 1
Hg1 Hg 0.250 0.999 0.001 1
Hg2 Hg 0.750 0.001 0.999 1
P1 P 0.312 0.441 0.443 1
P2 P 0.688 0.559 0.557 1
P3 P 0.188 0.557 0.559 1
P4 P 0.812 0.443 0.441 1
# density: 3.96 g cm⁻³
# energy relative to the elements, uncorrected: -0.112 eV per atom
# space group: C2/c

# PrTmIr2 (PBE, optimized geometry)
data_PrTmIr2
_space_group_name_H-M_alt 'P 1'
_space_group_IT_number 1
_cell_length_a 4.925
_cell_length_b 4.925
_cell_length_c 4.925
_cell_angle_alpha 60.00
_cell_angle_beta 60.00
_cell_angle_gamma 60.00
loop_
_space_group_symop_operation_xyz
'x,y,z'
loop_
_atom_site_label
_atom_site_type_symbol
_atom_site_fract_x
_atom_site_fract_y
_atom_site_fract_z
_atom_site_occupancy
Tm1 Tm 0.000 0.000 0.000 1
Ir1 Ir 0.750 0.750 0.750 1
Ir2 Ir 0.250 0.250 0.250 1
Pr1 Pr 0.500 0.500 0.500 1
# density: 13.65 g cm⁻³
# energy above the most stable polymorph in this dataset: 21 meV/atom
# space group: Fm-3m
# E_form: -655 meV per atom

# Tb3Tm5In (PBE, optimized geometry)
data_Tb3Tm5In
_space_group_name_H-M_alt 'P 1'
_space_group_IT_number 1
_cell_length_a 9.210
_cell_length_b 9.210
_cell_length_c 12.860
_cell_angle_alpha 50.54
_cell_angle_beta 50.54
_cell_angle_gamma 54.29
loop_
_space_group_symop_operation_xyz
'x,y,z'
loop_
_atom_site_label
_atom_site_type_symbol
_atom_site_fract_x
_atom_site_fract_y
_atom_site_fract_z
_atom_site_occupancy
Tm1 Tm 0.600 0.983 0.822 1
Tm2 Tm 0.167 0.167 0.006 1
Tm3 Tm 0.433 0.433 0.828 1
Tm4 Tm 0.567 0.567 0.172 1
Tm5 Tm 0.833 0.833 0.994 1
Tm6 Tm 0.672 0.328 0.000 1
Tm7 Tm 0.328 0.672 0.000 1
Tm8 Tm 0.400 0.017 0.178 1
Tm9 Tm 0.983 0.600 0.822 1
Tm10 Tm 0.017 0.400 0.178 1
Tb1 Tb 0.321 0.321 0.612 1
Tb2 Tb 0.679 0.679 0.388 1
Tb3 Tb 0.278 0.278 0.342 1
Tb4 Tb 0.000 0.000 0.000 1
Tb5 Tb 0.722 0.722 0.658 1
Tb6 Tb 0.000 0.000 0.500 1
In1 In 0.077 0.077 0.687 1
In2 In 0.923 0.923 0.313 1
# density: 7.69 g cm⁻³
# space group: C2/m
# E_form: 423 meV per atom